# 1
# K2PbCl PBE-GGA relaxed
# Formation energy (no corrections): -2.65 eV per formula unit
# E above lowest polymorph: 27.0 kJ/mol of atoms
# ρ: 3.08 g cm⁻³
data_K2PbCl
_chemical_formula_sum 'K8 Pb4 Cl4'
_cell_length_a 8.744
_cell_length_b 8.744
_cell_length_c 9.047
_cell_angle_alpha 90.00
_cell_angle_beta 90.00
_cell_angle_gamma 90.00
_space_group_name_H-M_alt 'I -4 2 d'
_space_group_IT_number 122
_space_group_name_Hall 'I -4 2bw'
loop_
_atom_site_label
_atom_site_type_symbol
_atom_site_fract_x
_atom_site_fract_y
_atom_site_fract_z
K1 K 0.187 0.250 0.125
Pb1 Pb 0.000 0.000 0.500
Cl1 Cl 0.000 0.000 0.000

---

# 2
# KPbCl4 PBE-GGA relaxed
# Formation energy (no corrections): -7.05 eV per formula unit
# ρ: 3.29 g cm⁻³
data_KPbCl4
_chemical_formula_sum 'K4 Pb4 Cl16'
_cell_length_a 9.470
_cell_length_b 14.707
_cell_length_c 7.004
_cell_angle_alpha 90.00
_cell_angle_beta 126.64
_cell_angle_gamma 90.00
_space_group_name_H-M_alt 'C 1 2/c 1'
_space_group_IT_number 15
loop_
_space_group_symop_operation_xyz
'x,y,z'
'-x,-y,-z'
'-x,y,-z+1/2'
'x,-y,z+1/2'
'x+1/2,y+1/2,z'
'-x+1/2,-y+1/2,-z'
'-x+1/2,y+1/2,-z+1/2'
'x+1/2,-y+1/2,z+1/2'
loop_
_atom_site_label
_atom_site_type_symbol
_atom_site_fract_x
_atom_site_fract_y
_atom_site_fract_z
K1 K 0.000 0.134 0.250
Pb1 Pb 0.000 0.405 0.750
Cl1 Cl 0.169 0.283 0.683
Cl2 Cl 0.217 0.462 0.226

---

# 3
# KPbCl PBE-GGA relaxed
# Formation energy (no corrections): -2.13 eV per formula unit
# E above lowest polymorph: 38.0 kJ/mol of atoms
# ρ: 4.50 g cm⁻³
data_KPbCl
_chemical_formula_sum 'K1 Pb1 Cl1'
_cell_length_a 3.9006
_cell_length_b 3.9006
_cell_length_c 7.8921
_cell_angle_alpha 90.00
_cell_angle_beta 90.00
_cell_angle_gamma 120.00
_space_group_name_H-M_alt 'P 3 m 1'
_space_group_IT_number 156
loop_
_space_group_symop_operation_xyz
'x,y,z'
'-y,x-y,z'
'-x+y,-x,z'
'-y,-x,z'
'-x+y,y,z'
'x,x-y,z'
loop_
_atom_site_label
_atom_site_type_symbol
_atom_site_fract_x
_atom_site_fract_y
_atom_site_fract_z
K1 K 0.0000 0.0000 0.0000
Pb1 Pb 0.6667 0.3333 0.4426
Cl1 Cl 0.3333 0.6667 0.7575

---

# 4
# K2PbCl PBE-GGA relaxed
# Formation energy (no corrections): -3.52 eV per formula unit
# E above lowest polymorph: 6.0 kJ/mol of atoms
# ρ: 3.69 g cm⁻³
data_K2PbCl
_chemical_formula_sum 'K4 Pb2 Cl2'
_cell_length_a 3.723
_cell_length_b 3.900
_cell_length_c 19.902
_cell_angle_alpha 90.00
_cell_angle_beta 90.00
_cell_angle_gamma 90.00
_space_group_name_H-M_alt 'I m m 2'
_space_group_IT_number 44
loop_
_space_group_symop_operation_xyz
'x,y,z'
'-x,-y,z'
'-x,y,z'
'x,-y,z'
'x+1/2,y+1/2,z+1/2'
'-x+1/2,-y+1/2,z+1/2'
'-x+1/2,y+1/2,z+1/2'
'x+1/2,-y+1/2,z+1/2'
loop_
_atom_site_label
_atom_site_type_symbol
_atom_site_fract_x
_atom_site_fract_y
_atom_site_fract_z
K1 K 0.000 0.000 0.000
K2 K 0.000 0.500 0.203
Pb1 Pb 0.000 0.500 0.838
Cl1 Cl 0.000 0.000 0.579

---

# 5
# K2PbCl4 PBE-GGA relaxed
# Formation energy (no corrections): -10.89 eV per formula unit
# E above lowest polymorph: 8.2 kJ/mol of atoms
# ρ: 2.72 g cm⁻³
data_K2PbCl4
_chemical_formula_sum 'K4 Pb2 Cl8'
_cell_length_a 5.669
_cell_length_b 5.669
_cell_length_c 16.200
_cell_angle_alpha 90.00
_cell_angle_beta 90.00
_cell_angle_gamma 90.00
_space_group_name_H-M_alt 'I 4/m m m'
_space_group_IT_number 139
_space_group_name_Hall '-I 4 2'
loop_
_atom_site_label
_atom_site_type_symbol
_atom_site_fract_x
_atom_site_fract_y
_atom_site_fract_z
K1 K 0.000 0.000 0.139
Pb1 Pb 0.000 0.000 0.500
Cl1 Cl 0.000 0.000 0.324
Cl2 Cl 0.000 0.500 0.000

---

# 6
# K2PbCl PBE-GGA relaxed
# Formation energy (no corrections): -3.61 eV per formula unit
# E above lowest polymorph: 3.7 kJ/mol of atoms
# ρ: 3.72 g cm⁻³
data_K2PbCl
_chemical_formula_sum 'K6 Pb3 Cl3'
_cell_length_a 4.0594
_cell_length_b 4.0594
_cell_length_c 30.1093
_cell_angle_alpha 90.00
_cell_angle_beta 90.00
_cell_angle_gamma 120.00
_space_group_name_H-M_alt 'R -3 m'
_space_group_IT_number 166
_space_group_name_Hall '-R 3 2"'
loop_
_atom_site_label
_atom_site_type_symbol
_atom_site_fract_x
_atom_site_fract_y
_atom_site_fract_z
K1 K 0.0000 0.0000 0.2336
Pb1 Pb 0.0000 0.0000 0.0000
Cl1 Cl 0.0000 0.0000 0.5000